# KZr3Se5, optimized geometry, DFT PBE-GGA
# - E_tot: -6.11 eV per atom
data_KZr3Se5
_cell_length_a 6.2177
_cell_length_b 6.2177
_cell_length_c 7.6903
_cell_angle_alpha 90.00
_cell_angle_beta 90.00
_cell_angle_gamma 120.00
_space_group_name_H-M_alt 'P 1'
_space_group_IT_number 1
loop_
_space_group_symop_operation_xyz
'x,y,z'
loop_
_atom_site_label
_atom_site_fract_x
_atom_site_fract_y
_atom_site_fract_z
K1 0.0000 0.0000 0.0000
Zr1 0.0000 0.5000 0.5000
Zr2 0.5000 0.0000 0.5000
Zr3 0.5000 0.5000 0.5000
Se1 0.0000 0.0000 0.5000
Se2 0.3333 0.6667 0.2374
Se3 0.3333 0.6667 0.7626
Se4 0.6667 0.3333 0.2374
Se5 0.6667 0.3333 0.7626



# KZrSe2, optimized geometry, DFT PBE-GGA
# - E_tot: -5.31 eV per atom
data_KZrSe2
_cell_length_a 8.0931
_cell_length_b 12.0342
_cell_length_c 6.2457
_cell_angle_alpha 90.00
_cell_angle_beta 116.05
_cell_angle_gamma 90.00
_space_group_name_H-M_alt 'P 1'
_space_group_IT_number 1
loop_
_space_group_symop_operation_xyz
'x,y,z'
loop_
_atom_site_label
_atom_site_fract_x
_atom_site_fract_y
_atom_site_fract_z
K1 0.0000 0.1441 0.2500
K2 0.0000 0.8559 0.7500
K3 0.5000 0.3559 0.7500
K4 0.5000 0.6441 0.2500
Zr1 0.0000 0.4932 0.7500
Zr2 0.0000 0.5068 0.2500
Zr3 0.5000 0.0068 0.2500
Zr4 0.5000 0.9932 0.7500
Se1 0.2172 0.3846 0.1372
Se2 0.2172 0.6154 0.6372
Se3 0.2828 0.1154 0.8628
Se4 0.2828 0.8846 0.3628
Se5 0.7172 0.1154 0.6372
Se6 0.7172 0.8846 0.1372
Se7 0.7828 0.3846 0.3628
Se8 0.7828 0.6154 0.8628



# KSmSi, optimized geometry, DFT PBE-GGA
# - Polymorph energy (0 for the lowest one): 0 meV per atom
data_KSmSi
_cell_length_a 7.3450
_cell_length_b 7.3450
_cell_length_c 7.3450
_cell_angle_alpha 90.00
_cell_angle_beta 90.00
_cell_angle_gamma 90.00
_space_group_name_H-M_alt 'P 1'
_space_group_IT_number 1
loop_
_space_group_symop_operation_xyz
'x,y,z'
loop_
_atom_site_label
_atom_site_fract_x
_atom_site_fract_y
_atom_site_fract_z
K1 0.0000 0.0000 0.0000
K2 0.0000 0.5000 0.5000
K3 0.5000 0.0000 0.5000
K4 0.5000 0.5000 0.0000
Sm1 0.0000 0.0000 0.5000
Sm2 0.0000 0.5000 0.0000
Sm3 0.5000 0.0000 0.0000
Sm4 0.5000 0.5000 0.5000
Si1 0.2500 0.2500 0.2500
Si2 0.2500 0.7500 0.7500
Si3 0.7500 0.2500 0.7500
Si4 0.7500 0.7500 0.2500



# K4Zn2SiSn, optimized geometry, DFT PBE-GGA
# - E_tot: -2.16 eV per atom
data_K4Zn2SiSn
_cell_length_a 6.2729
_cell_length_b 10.6907
_cell_length_c 7.9837
_cell_angle_alpha 90.00
_cell_angle_beta 90.00
_cell_angle_gamma 90.00
_space_group_name_H-M_alt 'P 1'
_space_group_IT_number 1
loop_
_space_group_symop_operation_xyz
'x,y,z'
loop_
_atom_site_label
_atom_site_fract_x
_atom_site_fract_y
_atom_site_fract_z
K1 0.0000 0.1657 0.0000
K2 0.0000 0.3343 0.5000
K3 0.0000 0.6657 0.5000
K4 0.0000 0.8343 0.0000
K5 0.5000 0.1745 0.2917
K6 0.5000 0.3255 0.7917
K7 0.5000 0.6745 0.7917
K8 0.5000 0.8255 0.2917
Zn1 0.2682 0.0000 0.6645
Zn2 0.2682 0.5000 0.1645
Zn3 0.7318 0.0000 0.6645
Zn4 0.7318 0.5000 0.1645
Si1 0.5000 0.0000 0.9000
Si2 0.5000 0.5000 0.4000
Sn1 0.0000 0.0000 0.4125
Sn2 0.0000 0.5000 0.9125



# KTbSi, optimized geometry, DFT PBE-GGA
# - Polymorph energy (0 for the lowest one): 0 meV per atom
data_KTbSi
_cell_length_a 7.2896
_cell_length_b 7.2896
_cell_length_c 7.2896
_cell_angle_alpha 90.00
_cell_angle_beta 90.00
_cell_angle_gamma 90.00
_space_group_name_H-M_alt 'P 1'
_space_group_IT_number 1
loop_
_space_group_symop_operation_xyz
'x,y,z'
loop_
_atom_site_label
_atom_site_fract_x
_atom_site_fract_y
_atom_site_fract_z
K1 0.0000 0.0000 0.0000
K2 0.0000 0.5000 0.5000
K3 0.5000 0.0000 0.5000
K4 0.5000 0.5000 0.0000
Tb1 0.0000 0.0000 0.5000
Tb2 0.0000 0.5000 0.0000
Tb3 0.5000 0.0000 0.0000
Tb4 0.5000 0.5000 0.5000
Si1 0.2500 0.2500 0.2500
Si2 0.2500 0.7500 0.7500
Si3 0.7500 0.2500 0.7500
Si4 0.7500 0.7500 0.2500



# KThSi, optimized geometry, DFT PBE-GGA
# - Polymorph energy (0 for the lowest one): 0 meV per atom
data_KThSi
_cell_length_a 7.2422
_cell_length_b 7.2422
_cell_length_c 7.2422
_cell_angle_alpha 90.00
_cell_angle_beta 90.00
_cell_angle_gamma 90.00
_space_group_name_H-M_alt 'P 1'
_space_group_IT_number 1
loop_
_space_group_symop_operation_xyz
'x,y,z'
loop_
_atom_site_label
_atom_site_fract_x
_atom_site_fract_y
_atom_site_fract_z
K1 0.0000 0.0000 0.0000
K2 0.0000 0.5000 0.5000
K3 0.5000 0.0000 0.5000
K4 0.5000 0.5000 0.0000
Th1 0.0000 0.0000 0.5000
Th2 0.0000 0.5000 0.0000
Th3 0.5000 0.0000 0.0000
Th4 0.5000 0.5000 0.5000
Si1 0.2500 0.2500 0.2500
Si2 0.2500 0.7500 0.7500
Si3 0.7500 0.2500 0.7500
Si4 0.7500 0.7500 0.2500



# KSi5W3, optimized geometry, DFT PBE-GGA
# - E_tot: -7.18 eV per atom
data_KSi5W3
_cell_length_a 5.2907
_cell_length_b 5.2907
_cell_length_c 8.4218
_cell_angle_alpha 90.00
_cell_angle_beta 90.00
_cell_angle_gamma 120.00
_space_group_name_H-M_alt 'P 1'
_space_group_IT_number 1
loop_
_space_group_symop_operation_xyz
'x,y,z'
loop_
_atom_site_label
_atom_site_fract_x
_atom_site_fract_y
_atom_site_fract_z
K1 0.0000 0.0000 0.0000
Si1 0.0000 0.0000 0.5000
Si2 0.3333 0.6667 0.2438
Si3 0.3333 0.6667 0.7562
Si4 0.6667 0.3333 0.2438
Si5 0.6667 0.3333 0.7562
W1 0.0000 0.5000 0.5000
W2 0.5000 0.0000 0.5000
W3 0.5000 0.5000 0.5000



# KSiW, optimized geometry, DFT PBE-GGA
# - Polymorph energy (0 for the lowest one): 0 meV per atom
data_KSiW
_cell_length_a 6.5810
_cell_length_b 6.5810
_cell_length_c 6.5810
_cell_angle_alpha 90.00
_cell_angle_beta 90.00
_cell_angle_gamma 90.00
_space_group_name_H-M_alt 'P 1'
_space_group_IT_number 1
loop_
_space_group_symop_operation_xyz
'x,y,z'
loop_
_atom_site_label
_atom_site_fract_x
_atom_site_fract_y
_atom_site_fract_z
K1 0.0000 0.0000 0.0000
K2 0.0000 0.5000 0.5000
K3 0.5000 0.0000 0.5000
K4 0.5000 0.5000 0.0000
Si1 0.2500 0.2500 0.2500
Si2 0.2500 0.7500 0.7500
Si3 0.7500 0.2500 0.7500
Si4 0.7500 0.7500 0.2500
W1 0.0000 0.0000 0.5000
W2 0.0000 0.5000 0.0000
W3 0.5000 0.0000 0.0000
W4 0.5000 0.5000 0.5000



# KSiW, optimized geometry, DFT PBE-GGA
# - Polymorph energy (0 for the lowest one): 1023 meV per atom
data_KSiW
_cell_length_a 6.9009
_cell_length_b 6.9009
_cell_length_c 6.9009
_cell_angle_alpha 90.00
_cell_angle_beta 90.00
_cell_angle_gamma 90.00
_space_group_name_H-M_alt 'P 1'
_space_group_IT_number 1
loop_
_space_group_symop_operation_xyz
'x,y,z'
loop_
_atom_site_label
_atom_site_fract_x
_atom_site_fract_y
_atom_site_fract_z
K1 0.0000 0.0000 0.0000
K2 0.0000 0.5000 0.5000
K3 0.5000 0.0000 0.5000
K4 0.5000 0.5000 0.0000
Si1 0.2500 0.2500 0.7500
Si2 0.2500 0.7500 0.2500
Si3 0.7500 0.2500 0.2500
Si4 0.7500 0.7500 0.7500
W1 0.2500 0.2500 0.2500
W2 0.2500 0.7500 0.7500
W3 0.7500 0.2500 0.7500
W4 0.7500 0.7500 0.2500



# KZn2Si2, optimized geometry, DFT PBE-GGA
# - E_tot: -2.89 eV per atom
data_KZn2Si2
_cell_length_a 4.3275
_cell_length_b 4.3275
_cell_length_c 10.4145
_cell_angle_alpha 90.00
_cell_angle_beta 90.00
_cell_angle_gamma 90.00
_space_group_name_H-M_alt 'P 1'
_space_group_IT_number 1
loop_
_space_group_symop_operation_xyz
'x,y,z'
loop_
_atom_site_label
_atom_site_fract_x
_atom_site_fract_y
_atom_site_fract_z
K1 0.0000 0.0000 0.0000
K2 0.5000 0.5000 0.5000
Zn1 0.0000 0.5000 0.2500
Zn2 0.0000 0.5000 0.7500
Zn3 0.5000 0.0000 0.2500
Zn4 0.5000 0.0000 0.7500
Si1 0.0000 0.0000 0.3848
Si2 0.0000 0.0000 0.6152
Si3 0.5000 0.5000 0.1152
Si4 0.5000 0.5000 0.8848



# K6ZnSi2, optimized geometry, DFT PBE-GGA
# - E_tot: -1.98 eV per atom
data_K6ZnSi2
_cell_length_a 6.1923
_cell_length_b 6.1923
_cell_length_c 10.2245
_cell_angle_alpha 101.15
_cell_angle_beta 101.15
_cell_angle_gamma 57.77
_space_group_name_H-M_alt 'P 1'
_space_group_IT_number 1
loop_
_space_group_symop_operation_xyz
'x,y,z'
loop_
_atom_site_label
_atom_site_fract_x
_atom_site_fract_y
_atom_site_fract_z
K1 0.0473 0.0473 0.2266
K2 0.2038 0.2038 0.5779
K3 0.3202 0.3202 0.9275
K4 0.6798 0.6798 0.0725
K5 0.7962 0.7962 0.4221
K6 0.9527 0.9527 0.7734
Zn1 0.5000 0.5000 0.5000
Si1 0.3839 0.3839 0.2701
Si2 0.6161 0.6161 0.7299



# KZrSi, optimized geometry, DFT PBE-GGA
# - Polymorph energy (0 for the lowest one): 924 meV per atom
data_KZrSi
_cell_length_a 6.8476
_cell_length_b 6.8476
_cell_length_c 6.8476
_cell_angle_alpha 90.00
_cell_angle_beta 90.00
_cell_angle_gamma 90.00
_space_group_name_H-M_alt 'P 1'
_space_group_IT_number 1
loop_
_space_group_symop_operation_xyz
'x,y,z'
loop_
_atom_site_label
_atom_site_fract_x
_atom_site_fract_y
_atom_site_fract_z
K1 0.0000 0.0000 0.0000
K2 0.0000 0.5000 0.5000
K3 0.5000 0.0000 0.5000
K4 0.5000 0.5000 0.0000
Zr1 0.2500 0.2500 0.2500
Zr2 0.2500 0.7500 0.7500
Zr3 0.7500 0.2500 0.7500
Zr4 0.7500 0.7500 0.2500
Si1 0.2500 0.2500 0.7500
Si2 0.2500 0.7500 0.2500
Si3 0.7500 0.2500 0.2500
Si4 0.7500 0.7500 0.7500